Entry 1:
SmCo2Si after structural relaxation, computed with PBE.

POSCAR file:
```
SmCo2Si
1.0
-1.7346 2.6494 2.1304
-3.3798 -1.6025 -0.7589
0.8718 -5.2902 7.2889
Co Si Sm
4 2 2
Direct
0.5000 0.0000 0.8940 Co
0.0000 0.5000 0.1060 Co
0.5000 0.5000 0.5000 Co
0.0000 0.0000 0.5000 Co
0.0000 0.5000 0.3621 Si
0.5000 0.0000 0.6379 Si
0.5000 0.0000 0.2099 Sm
0.0000 0.5000 0.7901 Sm
```


Entry 2:
SmCoSi2Tc after structural relaxation, computed with PBE.

POSCAR file:
```
SmCoSi2Tc
1.0
-3.4010 -2.0657 -1.0645
1.4447 -3.3574 1.8993
-1.1809 4.1288 3.7302
Sm Tc Si Co
1 1 2 1
Direct
0.0000 0.0000 0.0000 Sm
0.7500 0.2500 0.5000 Tc
0.3676 0.3676 0.7352 Si
0.6324 0.6324 0.2648 Si
0.2500 0.7500 0.5000 Co
```


Entry 3:
Sm2ZnCo5Si2 after structural relaxation, computed with PBE.

POSCAR file:
```
Sm2ZnCo5Si2
1.0
-2.6769 0.3597 -1.8496
-4.9734 -5.3627 6.1550
-2.3537 7.8432 4.9317
Sm Zn Co Si
4 2 10 4
Direct
0.0000 0.6782 0.1782 Sm
0.0000 0.1782 0.3218 Sm
0.0000 0.3218 0.8218 Sm
0.0000 0.8218 0.6782 Sm
0.0000 0.0000 0.0000 Zn
0.0000 0.5000 0.5000 Zn
0.5000 0.7190 0.4348 Co
0.5000 0.0000 0.5000 Co
0.5000 0.9348 0.2190 Co
0.5000 0.4348 0.2810 Co
0.5000 0.5652 0.7190 Co
0.5000 0.0652 0.7810 Co
0.5000 0.2190 0.0652 Co
0.5000 0.7810 0.9348 Co
0.5000 0.2810 0.5652 Co
0.5000 0.5000 0.0000 Co
0.0000 0.1188 0.6188 Si
0.0000 0.3812 0.1188 Si
0.0000 0.8812 0.3812 Si
0.0000 0.6188 0.8812 Si
```


Entry 4:
Co2Si2Sn after structural relaxation, computed with PBE.

POSCAR file:
```
Co2Si2Sn
1.0
7.0906 0.0000 0.0000
0.0000 7.0906 0.0000
0.0000 0.0000 2.7183
Sn Co Si
2 4 4
Direct
0.0000 0.0000 0.0000 Sn
0.5000 0.5000 0.0000 Sn
0.1413 0.3587 0.0000 Co
0.6413 0.1413 0.0000 Co
0.3587 0.8587 0.0000 Co
0.8587 0.6413 0.0000 Co
0.3578 0.1422 0.5000 Si
0.8578 0.3578 0.5000 Si
0.6422 0.8578 0.5000 Si
0.1422 0.6422 0.5000 Si
```


| no. | formation energy without anion corrections (eV per atom) | mass density (g/cm3) |
| --- | --- | --- |
| 1 | -0.34 | 7.47 |
| 2 | -0.70 | 7.28 |
| 3 | -0.29 | 7.96 |
| 4 | -0.07 | 7.11 |